# 1
# TlOs2Pb PBE relaxed
data_TlOs2Pb
_symmetry_space_group_name_H-M 'P 1'
_symmetry_Int_Tables_number 1
_cell_length_a 2.972
_cell_length_b 2.972
_cell_length_c 9.776
_cell_angle_alpha 90.00
_cell_angle_beta 90.00
_cell_angle_gamma 90.00
loop_
_symmetry_equiv_pos_as_xyz
'x,y,z'
loop_
_atom_site_label
_atom_site_fract_x
_atom_site_fract_y
_atom_site_fract_z
Os1 0.500 0.500 0.205
Os2 0.000 0.000 0.048
Pb1 0.000 0.000 0.441
Tl1 0.500 0.500 0.806
# Energy above the lowest structure with this stoichiometry in meV/atom: 0
# SG: P4mm
# Formation energy from the elements in eV/atom: 0.545
# Fermi-level density of states in states/eV per cell: 3.89

# 2
# TlOs2Pb PBE relaxed
data_TlOs2Pb
_symmetry_space_group_name_H-M 'P 1'
_symmetry_Int_Tables_number 1
_cell_length_a 5.517
_cell_length_b 5.517
_cell_length_c 3.121
_cell_angle_alpha 74.02
_cell_angle_beta 74.02
_cell_angle_gamma 111.36
loop_
_symmetry_equiv_pos_as_xyz
'x,y,z'
loop_
_atom_site_label
_atom_site_fract_x
_atom_site_fract_y
_atom_site_fract_z
Os1 0.000 0.000 0.000
Os2 0.500 0.500 0.000
Tl1 0.000 0.500 0.500
Pb1 0.500 0.000 0.500
# Energy above the lowest structure with this stoichiometry in meV/atom: 708
# SG: C2/m
# Formation energy from the elements in eV/atom: 1.254
# Fermi-level density of states in states/eV per cell: 4.35

# 3
# TlOsPb PBE relaxed
data_TlOsPb
_symmetry_space_group_name_H-M 'P 1'
_symmetry_Int_Tables_number 1
_cell_length_a 5.004
_cell_length_b 5.004
_cell_length_c 3.109
_cell_angle_alpha 90.00
_cell_angle_beta 90.00
_cell_angle_gamma 120.00
loop_
_symmetry_equiv_pos_as_xyz
'x,y,z'
loop_
_atom_site_label
_atom_site_fract_x
_atom_site_fract_y
_atom_site_fract_z
Os1 0.000 0.000 0.836
Tl1 0.333 0.667 0.832
Pb1 0.667 0.333 0.332
# Energy above the lowest structure with this stoichiometry in meV/atom: 262
# SG: P3m1
# Formation energy from the elements in eV/atom: 1.060
# Fermi-level density of states in states/eV per cell: 2.17

# 4
# TlOs2Pb PBE relaxed
data_TlOs2Pb
_symmetry_space_group_name_H-M 'P 1'
_symmetry_Int_Tables_number 1
_cell_length_a 3.113
_cell_length_b 3.113
_cell_length_c 9.117
_cell_angle_alpha 90.00
_cell_angle_beta 90.00
_cell_angle_gamma 118.97
loop_
_symmetry_equiv_pos_as_xyz
'x,y,z'
loop_
_atom_site_label
_atom_site_fract_x
_atom_site_fract_y
_atom_site_fract_z
Os1 0.000 0.000 0.497
Os2 0.000 0.000 0.003
Pb1 0.500 0.500 0.250
Tl1 0.500 0.500 0.750
# Energy above the lowest structure with this stoichiometry in meV/atom: 723
# SG: Cmmm
# Formation energy from the elements in eV/atom: 1.269
# Fermi-level density of states in states/eV per cell: 4.17

# 5
# Tl2OsPb PBE relaxed
data_Tl2OsPb
_symmetry_space_group_name_H-M 'P 1'
_symmetry_Int_Tables_number 1
_cell_length_a 7.623
_cell_length_b 7.623
_cell_length_c 4.683
_cell_angle_alpha 72.11
_cell_angle_beta 72.11
_cell_angle_gamma 24.00
loop_
_symmetry_equiv_pos_as_xyz
'x,y,z'
loop_
_atom_site_label
_atom_site_fract_x
_atom_site_fract_y
_atom_site_fract_z
Tl1 0.002 0.002 0.998
Tl2 0.176 0.176 0.323
Pb1 0.826 0.826 0.674
Os1 0.496 0.496 0.504
# Energy above the lowest structure with this stoichiometry in meV/atom: 12
# SG: Imm2
# Formation energy from the elements in eV/atom: 0.572
# Fermi-level density of states in states/eV per cell: 2.50

# 6
# TlOs2Pb PBE relaxed
data_TlOs2Pb
_symmetry_space_group_name_H-M 'P 1'
_symmetry_Int_Tables_number 1
_cell_length_a 5.262
_cell_length_b 5.262
_cell_length_c 5.262
_cell_angle_alpha 133.39
_cell_angle_beta 133.39
_cell_angle_gamma 68.05
loop_
_symmetry_equiv_pos_as_xyz
'x,y,z'
loop_
_atom_site_label
_atom_site_fract_x
_atom_site_fract_y
_atom_site_fract_z
Os1 0.250 0.750 0.500
Os2 0.000 0.000 0.000
Tl1 0.750 0.250 0.500
Pb1 0.500 0.500 0.000
# Energy above the lowest structure with this stoichiometry in meV/atom: 769
# SG: I-4m2
# Formation energy from the elements in eV/atom: 1.315
# Fermi-level density of states in states/eV per cell: 5.67

# 7
# Tl2OsPb PBE relaxed
data_Tl2OsPb
_symmetry_space_group_name_H-M 'P 1'
_symmetry_Int_Tables_number 1
_cell_length_a 5.420
_cell_length_b 5.420
_cell_length_c 5.420
_cell_angle_alpha 129.05
_cell_angle_beta 129.05
_cell_angle_gamma 74.94
loop_
_symmetry_equiv_pos_as_xyz
'x,y,z'
loop_
_atom_site_label
_atom_site_fract_x
_atom_site_fract_y
_atom_site_fract_z
Pb1 0.750 0.250 0.500
Tl1 0.000 0.000 0.000
Tl2 0.500 0.500 0.000
Os1 0.250 0.750 0.500
# Energy above the lowest structure with this stoichiometry in meV/atom: 411
# SG: I4/mmm
# Formation energy from the elements in eV/atom: 0.971
# Fermi-level density of states in states/eV per cell: 3.85

# 8
# TlOs2Pb PBE relaxed
data_TlOs2Pb
_symmetry_space_group_name_H-M 'P 1'
_symmetry_Int_Tables_number 1
_cell_length_a 9.016
_cell_length_b 9.016
_cell_length_c 9.016
_cell_angle_alpha 20.07
_cell_angle_beta 20.07
_cell_angle_gamma 20.07
loop_
_symmetry_equiv_pos_as_xyz
'x,y,z'
loop_
_atom_site_label
_atom_site_fract_x
_atom_site_fract_y
_atom_site_fract_z
Tl1 0.750 0.750 0.750
Os1 0.501 0.501 0.501
Os2 0.999 0.999 0.999
Pb1 0.250 0.250 0.250
# Energy above the lowest structure with this stoichiometry in meV/atom: 665
# SG: R-3m
# Formation energy from the elements in eV/atom: 1.211
# Fermi-level density of states in states/eV per cell: 5.80

# 9
# TlOs2Pb PBE relaxed
data_TlOs2Pb
_symmetry_space_group_name_H-M 'P 1'
_symmetry_Int_Tables_number 1
_cell_length_a 3.603
_cell_length_b 2.907
_cell_length_c 8.629
_cell_angle_alpha 79.84
_cell_angle_beta 90.00
_cell_angle_gamma 90.00
loop_
_symmetry_equiv_pos_as_xyz
'x,y,z'
loop_
_atom_site_label
_atom_site_fract_x
_atom_site_fract_y
_atom_site_fract_z
Pb1 0.000 0.716 0.440
Tl1 0.500 0.532 0.805
Os1 0.000 0.910 0.061
Os2 0.500 0.341 0.193
# Energy above the lowest structure with this stoichiometry in meV/atom: 29
# SG: Pm
# Formation energy from the elements in eV/atom: 0.575
# Fermi-level density of states in states/eV per cell: 2.54

# 10
# TlOs2Pb PBE relaxed
data_TlOs2Pb
_symmetry_space_group_name_H-M 'P 1'
_symmetry_Int_Tables_number 1
_cell_length_a 6.560
_cell_length_b 6.560
_cell_length_c 6.560
_cell_angle_alpha 153.44
_cell_angle_beta 138.60
_cell_angle_gamma 49.87
loop_
_symmetry_equiv_pos_as_xyz
'x,y,z'
loop_
_atom_site_label
_atom_site_fract_x
_atom_site_fract_y
_atom_site_fract_z
Os1 0.767 0.267 0.500
Os2 0.943 0.943 0.000
Pb1 0.536 0.536 0.000
Tl1 0.254 0.754 0.500
# Energy above the lowest structure with this stoichiometry in meV/atom: 426
# SG: Imm2
# Formation energy from the elements in eV/atom: 0.971
# Fermi-level density of states in states/eV per cell: 3.54

# 11
# Tl2OsPb PBE relaxed
data_Tl2OsPb
_symmetry_space_group_name_H-M 'P 1'
_symmetry_Int_Tables_number 1
_cell_length_a 5.991
_cell_length_b 5.991
_cell_length_c 3.534
_cell_angle_alpha 75.81
_cell_angle_beta 75.81
_cell_angle_gamma 120.43
loop_
_symmetry_equiv_pos_as_xyz
'x,y,z'
loop_
_atom_site_label
_atom_site_fract_x
_atom_site_fract_y
_atom_site_fract_z
Pb1 0.000 0.500 0.500
Os1 0.500 0.000 0.500
Tl1 0.000 0.000 0.000
Tl2 0.500 0.500 0.000
# Energy above the lowest structure with this stoichiometry in meV/atom: 418
# SG: C2/m
# Formation energy from the elements in eV/atom: 0.978
# Fermi-level density of states in states/eV per cell: 3.82

# 12
# TlOs2Pb PBE relaxed
data_TlOs2Pb
_symmetry_space_group_name_H-M 'P 1'
_symmetry_Int_Tables_number 1
_cell_length_a 4.697
_cell_length_b 4.697
_cell_length_c 3.344
_cell_angle_alpha 90.00
_cell_angle_beta 90.00
_cell_angle_gamma 89.99
loop_
_symmetry_equiv_pos_as_xyz
'x,y,z'
loop_
_atom_site_label
_atom_site_fract_x
_atom_site_fract_y
_atom_site_fract_z
Os1 0.500 0.500 0.000
Os2 0.000 0.000 0.000
Pb1 0.500 0.000 0.500
Tl1 0.000 0.500 0.500
# Energy above the lowest structure with this stoichiometry in meV/atom: 617
# SG: P4/mmm
# Formation energy from the elements in eV/atom: 1.162
# Fermi-level density of states in states/eV per cell: 3.36